First-principles (PBE) data for a relaxed structure of AcPr2Nd2Sm, as listed in the Alexandria database.

a = 7.339 Å, b = 5.894 Å, c = 10.162 Å
α = 90.00°, β = 90.00°, γ = 90.00°
Fractional positions:
Ac: 0.000 0.000 0.000
Ac: 0.500 0.000 0.000
Pr: 0.000 0.500 0.500
Pr: 0.250 0.000 0.335
Pr: 0.500 0.500 0.500
Pr: 0.750 0.000 0.665
Nd: 0.250 0.000 0.664
Nd: 0.250 0.500 0.170
Nd: 0.750 0.000 0.336
Nd: 0.750 0.500 0.830
Sm: 0.250 0.500 0.832
Sm: 0.750 0.500 0.168

Calculated values
Formation enthalpy at 0 K = 0.0485 eV per atom
Crystal system = orthorhombic
DOS(E_F) = 1.46 states/eV/atom
Total magnetization = 0.00 μB per formula unit